# 1
## Na2LaSi2 (GGA-PBE)

Data for a relaxed Na2LaSi2 crystal.

The structure in POSCAR format:
```
Na2LaSi2
1.0
7.518 0.000 0.000
0.000 7.518 0.000
0.000 0.000 4.871
Na La Si
4 2 4
Direct
0.165 0.335 0.000
0.335 0.835 0.000
0.665 0.165 0.000
0.835 0.665 0.000
0.000 0.000 0.500
0.500 0.500 0.500
0.109 0.609 0.500
0.391 0.109 0.500
0.609 0.891 0.500
0.891 0.391 0.500
```

## Properties
The offset from the most stable computed form comes out at 5.331 kcal/mol of atoms. Its crystal system is tetragonal. The calculation puts the volume at 27.5 Å³ per atom.

# 2
## NaLaSi3 (GGA-PBE)

Data for a relaxed NaLaSi3 crystal.

The structure in POSCAR format:
```
NaLaSi3
1.0
4.892 0.000 0.000
0.000 4.892 0.000
0.000 0.000 4.892
Na La Si
1 1 3
Direct
0.000 0.000 0.000
0.500 0.500 0.500
0.000 0.000 0.500
0.000 0.500 0.000
0.500 0.000 0.000
```

## Properties
The offset from the most stable computed form comes out at 23.647 kcal/mol of atoms. Its crystal system is cubic. The calculation puts the volume at 23.4 Å³ per atom.

# 3
## NaLaSi3 (GGA-PBE)

Data for a relaxed NaLaSi3 crystal.

The structure in POSCAR format:
```
NaLaSi3
1.0
5.614 0.000 0.000
0.000 5.614 0.000
0.000 0.000 5.614
Na La Si
1 1 3
Direct
0.000 0.000 0.000
0.500 0.500 0.500
0.000 0.500 0.500
0.500 0.000 0.500
0.500 0.500 0.000
```

## Properties
The offset from the most stable computed form comes out at 31.361 kcal/mol of atoms. Its crystal system is cubic. The calculation puts the volume at 35.4 Å³ per atom.

# 4
## NaLaSi3 (GGA-PBE)

Data for a relaxed NaLaSi3 crystal.

The structure in POSCAR format:
```
NaLaSi3
1.0
2.248 -12.581 0.000
2.248 12.581 0.000
0.000 0.000 3.953
Na La Si
2 2 6
Direct
0.207 0.793 0.750
0.793 0.207 0.250
0.071 0.929 0.250
0.929 0.071 0.750
0.330 0.670 0.750
0.381 0.619 0.250
0.475 0.525 0.250
0.525 0.475 0.750
0.619 0.381 0.750
0.670 0.330 0.250
```

## Properties
The offset from the most stable computed form comes out at 0.000 kcal/mol of atoms. Its crystal system is orthorhombic. The calculation puts the volume at 22.4 Å³ per atom.

# 5
## NaLa2Si (GGA-PBE)

Data for a relaxed NaLa2Si crystal.

The structure in POSCAR format:
```
NaLa2Si
1.0
-4.357 4.357 3.525
4.357 -4.357 3.525
4.357 4.357 -3.525
Na La Si
2 4 2
Direct
0.000 0.000 0.000
0.750 0.250 0.500
0.173 0.625 0.048
0.375 0.423 0.548
0.577 0.125 0.952
0.875 0.827 0.452
0.250 0.750 0.500
0.500 0.500 0.000
```

## Properties
Its crystal system is tetragonal. The calculation puts the total energy at -32.92 eV for the cell shown. The calculation puts the volume at 33.5 Å³ per atom.

# 6
## Na2LaSi2 (GGA-PBE)

Data for a relaxed Na2LaSi2 crystal.

The structure in POSCAR format:
```
Na2LaSi2
1.0
-2.162 2.162 6.628
2.162 -2.162 6.628
2.162 2.162 -6.628
Na La Si
2 1 2
Direct
0.250 0.750 0.500
0.750 0.250 0.500
0.000 0.000 0.000
0.413 0.413 0.000
0.587 0.587 0.000
```

## Properties
The offset from the most stable computed form comes out at 0.000 kcal/mol of atoms. Its crystal system is tetragonal. The calculation puts the volume at 24.8 Å³ per atom.

# 7
## Na3LaSi (GGA-PBE)

Data for a relaxed Na3LaSi crystal.

The structure in POSCAR format:
```
Na3LaSi
1.0
5.502 0.000 0.000
0.000 5.502 0.000
0.000 0.000 5.502
Na La Si
3 1 1
Direct
0.000 0.000 0.500
0.000 0.500 0.000
0.500 0.000 0.000
0.500 0.500 0.500
0.000 0.000 0.000
```

## Properties
Its crystal system is cubic. The calculation puts the total energy at -11.92 eV for the cell shown. The calculation puts the volume at 33.3 Å³ per atom.

# 8
## NaLaSi (GGA-PBE)

Data for a relaxed NaLaSi crystal.

The structure in POSCAR format:
```
NaLaSi
1.0
2.248 -9.800 0.000
2.248 9.800 0.000
0.000 0.000 3.922
Na La Si
2 2 2
Direct
0.206 0.794 0.750
0.794 0.206 0.250
0.419 0.581 0.750
0.581 0.419 0.250
0.037 0.963 0.750
0.963 0.037 0.250
```

## Properties
Its crystal system is orthorhombic. The calculation puts the total energy at -25.80 eV for the cell shown. The calculation puts the volume at 28.8 Å³ per atom.

# 9
## NaLaSi (GGA-PBE)

Data for a relaxed NaLaSi crystal.

The structure in POSCAR format:
```
NaLaSi
1.0
0.000 3.558 3.558
3.558 0.000 3.558
3.558 3.558 0.000
Na La Si
1 1 1
Direct
0.000 0.000 0.000
0.500 0.500 0.500
0.750 0.750 0.750
```

## Properties
Its crystal system is cubic. The calculation puts the total energy at -12.48 eV for the cell shown. The calculation puts the volume at 30.0 Å³ per atom.

# 10
## Na2LaSiTe4 (GGA-PBE)

Data for a relaxed Na2LaSiTe4 crystal.

The structure in POSCAR format:
```
Na2LaSiTe4
1.0
-4.236 4.665 6.370
4.236 -4.665 6.370
4.236 4.665 -6.370
Na La Si Te
4 2 2 8
Direct
0.000 0.000 0.000
0.500 0.000 0.000
0.500 0.000 0.500
0.500 0.500 0.500
0.000 0.500 0.500
0.500 0.500 0.000
0.000 0.000 0.500
0.000 0.500 0.000
0.209 0.248 0.961
0.213 0.752 0.461
0.231 0.227 0.496
0.231 0.735 0.004
0.769 0.265 0.996
0.769 0.773 0.504
0.787 0.248 0.539
0.791 0.752 0.039
```

## Properties
Its crystal system is orthorhombic. The calculation puts the total energy at -63.32 eV for the cell shown. The calculation puts the volume at 31.5 Å³ per atom.

# 11
## NaLa2SiTe (GGA-PBE)

Data for a relaxed NaLa2SiTe crystal.

The structure in POSCAR format:
```
NaLa2SiTe
1.0
5.746 0.000 0.000
0.000 5.746 0.000
0.000 0.000 5.189
Na La Si Te
1 2 1 1
Direct
0.000 0.000 0.000
0.000 0.500 0.500
0.500 0.000 0.500
0.000 0.000 0.500
0.500 0.500 0.000
```

## Properties
Its crystal system is tetragonal. The calculation puts the total energy at -22.07 eV for the cell shown. The calculation puts the volume at 34.3 Å³ per atom.

# 12
## NaLa2ZnSi (GGA-PBE)

Data for a relaxed NaLa2ZnSi crystal.

The structure in POSCAR format:
```
NaLa2ZnSi
1.0
5.649 0.000 0.000
0.000 5.649 0.000
0.000 0.000 4.678
Na La Zn Si
1 2 1 1
Direct
0.000 0.000 0.000
0.000 0.500 0.000
0.500 0.000 0.000
0.000 0.000 0.500
0.500 0.500 0.500
```

## Properties
Its crystal system is tetragonal. The calculation puts the total energy at -14.46 eV for the cell shown. The calculation puts the volume at 29.9 Å³ per atom.

# 13
## NaLa2Sm (GGA-PBE)

Data for a relaxed NaLa2Sm crystal.

The structure in POSCAR format:
```
NaLa2Sm
1.0
1.847 1.066 12.430
-1.847 1.066 12.430
0.000 -2.132 12.430
Na La Sm
1 2 1
Direct
0.000 0.000 0.000
0.421 0.421 0.421
0.579 0.579 0.579
0.167 0.167 0.167
```

## Properties
The offset from the most stable computed form comes out at 0.000 kcal/mol of atoms. As for the formation energy: 81 meV/atom. Its crystal system is trigonal. The calculation puts the volume at 36.7 Å³ per atom.

# 14
## NaLa2Sm (GGA-PBE)

Data for a relaxed NaLa2Sm crystal.

The structure in POSCAR format:
```
NaLa2Sm
1.0
1.813 1.047 13.145
-1.813 1.047 13.145
0.000 -2.093 13.145
Na La Sm
1 2 1
Direct
0.000 0.000 0.000
0.092 0.092 0.092
0.908 0.908 0.908
0.500 0.500 0.500
```

## Properties
The offset from the most stable computed form comes out at 0.953 kcal/mol of atoms. As for the formation energy: 123 meV/atom. Its crystal system is trigonal. The calculation puts the volume at 37.4 Å³ per atom.

# 15
## NaLa2Sm (GGA-PBE)

Data for a relaxed NaLa2Sm crystal.

The structure in POSCAR format:
```
NaLa2Sm
1.0
3.617 0.000 0.000
0.000 3.617 0.000
0.000 0.000 11.143
Na La Sm
1 2 1
Direct
0.000 0.000 0.000
0.500 0.500 0.269
0.500 0.500 0.731
0.000 0.000 0.500
```

## Properties
The offset from the most stable computed form comes out at 0.119 kcal/mol of atoms. As for the formation energy: 86 meV/atom. Its crystal system is tetragonal. The calculation puts the volume at 36.4 Å³ per atom.

# 16
## NaLaSm2 (GGA-PBE)

Data for a relaxed NaLaSm2 crystal.

The structure in POSCAR format:
```
NaLaSm2
1.0
1.794 1.036 12.980
-1.794 1.036 12.980
0.000 -2.072 12.980
Na La Sm
1 1 2
Direct
0.000 0.000 0.000
0.500 0.500 0.500
0.091 0.091 0.091
0.909 0.909 0.909
```

## Properties
The offset from the most stable computed form comes out at 0.729 kcal/mol of atoms. As for the formation energy: 159 meV/atom. Its crystal system is trigonal. The calculation puts the volume at 36.2 Å³ per atom.

# 17
## NaLaSm2 (GGA-PBE)

Data for a relaxed NaLaSm2 crystal.

The structure in POSCAR format:
```
NaLaSm2
1.0
1.812 1.046 12.414
-1.812 1.046 12.414
0.000 -2.092 12.414
Na La Sm
1 1 2
Direct
0.000 0.000 0.000
0.833 0.833 0.833
0.419 0.419 0.419
0.581 0.581 0.581
```

## Properties
The offset from the most stable computed form comes out at 0.149 kcal/mol of atoms. As for the formation energy: 133 meV/atom. Its crystal system is trigonal. The calculation puts the volume at 35.3 Å³ per atom.

# 18
## NaLaSm2 (GGA-PBE)

Data for a relaxed NaLaSm2 crystal.

The structure in POSCAR format:
```
NaLaSm2
1.0
3.625 0.000 0.000
0.000 3.625 0.000
0.000 0.000 10.767
Na La Sm
1 1 2
Direct
0.000 0.000 0.000
0.000 0.000 0.500
0.500 0.500 0.264
0.500 0.500 0.736
```

## Properties
The offset from the most stable computed form comes out at 0.000 kcal/mol of atoms. As for the formation energy: 127 meV/atom. Its crystal system is tetragonal. The calculation puts the volume at 35.4 Å³ per atom.

# 19
## NaLa2Sm (GGA-PBE)

Data for a relaxed NaLa2Sm crystal.

The structure in POSCAR format:
```
NaLa2Sm
1.0
6.121 0.000 0.000
0.000 6.121 0.000
0.000 0.000 3.790
Na La Sm
1 2 1
Direct
0.000 0.000 0.000
0.000 0.500 0.500
0.500 0.000 0.500
0.500 0.500 0.000
```

## Properties
The offset from the most stable computed form comes out at 2.020 kcal/mol of atoms. As for the formation energy: 169 meV/atom. Its crystal system is tetragonal. The calculation puts the volume at 35.5 Å³ per atom.

# 20
## NaLaSmSn (GGA-PBE)

Data for a relaxed NaLaSmSn crystal.

The structure in POSCAR format:
```
NaLaSmSn
1.0
0.000 3.899 3.899
3.899 0.000 3.899
3.899 3.899 0.000
Na La Sm Sn
1 1 1 1
Direct
0.000 0.000 0.000
0.250 0.250 0.250
0.750 0.750 0.750
0.500 0.500 0.500
```

## Properties
As for the formation energy: -340 meV/atom. Its crystal system is cubic. The calculation puts the volume at 29.6 Å³ per atom.

In states/eV/f.u., the D(E_F) values for the records above are, in order, 3.2, 3.3, 5.3, 1.8, 3.4, 2.7, 5.6, 1.9, 0.1, 2.4, 4.2, 6.0, 5.2, 5.2, 3.9, 5.3, 6.3, 5.1, 5.2, 3.1.